Record 1
Below is a relaxed Si2TeSe crystal, with properties calculated at the GGA-PBEsol level.

As for the symmetry: No. 47. For the energy relative to the lowest polymorph listed for this composition, the calculation gives 0.546 eV per atom. The calculation puts the uncorrected formation energy at 0.502 eV/atom. The calculation puts the total energy at -16.9 eV per cell. The total magnetic moment comes out at 0.000 μB per formula unit.

a b c (Å): 3.3351 4.8216 4.8700
angles (deg): 90.00 90.00 90.00
With the nearest neighbours (Å) after each atom.
Fractional positions:
Si: 0.0000 0.0000 0.0000  4 Te 2.93, 4 Si 2.95
Si: 0.5000 0.0000 0.5000  4 Se 2.93, 4 Si 2.95
Te: 0.5000 0.5000 0.0000  4 Si 2.93, 4 Se 2.95
Se: 0.0000 0.5000 0.5000  4 Si 2.93, 4 Te 2.95

Record 2
Below is a relaxed LaAl2Cu3 crystal, with properties calculated at the GGA-PBEsol level.

As for the symmetry: No. 65. The energy of formation from the pure elements comes out at -0.377 eV per atom. The calculation puts the total energy at -28.8 eV per cell. The total magnetic moment comes out at 0.000 μB per formula unit.

a b c (Å): 4.1439 5.1910 5.1910
angles (deg): 117.98 90.00 90.00
With the nearest neighbours (Å) after each atom.
Fractional positions:
Al: 0.5000 0.5000 0.0000  6 Cu 2.59-2.60, 2 Al 2.67
Al: 0.5000 0.0000 0.5000  6 Cu 2.59-2.60, 2 Al 2.67
Cu: 0.0000 0.6599 0.3401  2 Cu 2.51, 4 Al 2.59
Cu: 0.0000 0.3401 0.6599  2 Cu 2.51, 4 Al 2.59
Cu: 0.5000 0.5000 0.5000  4 Cu 2.51, 4 Al 2.60
La: 0.0000 0.0000 0.0000  10 Cu 3.03-3.38, 8 Al 3.32

Record 3
Below is a relaxed In2TeMo crystal, with properties calculated at the GGA-PBEsol level.

As for the symmetry: No. 65. The calculation puts the uncorrected formation energy at 0.480 eV/atom. The calculation puts the total energy at -19.3 eV per cell. The total magnetic moment comes out at 0.000 μB per formula unit.

a b c (Å): 3.0143 5.4396 5.4396
angles (deg): 109.26 90.00 90.00
With the nearest neighbours (Å) after each atom.
Fractional positions:
In: 0.0000 0.5000 0.0000  4 In 3.01-3.15, 4 Mo 3.11, 4 Te 3.11
In: 0.0000 0.0000 0.5000  4 In 3.01-3.15, 4 Te 3.11, 4 Mo 3.11
Mo: 0.5000 0.0000 0.0000  2 Mo 3.01, 8 In 3.11, 2 Te 3.15
Te: 0.5000 0.5000 0.5000  2 Te 3.01, 8 In 3.11, 2 Mo 3.15

Record 4
Below is a relaxed ZnMoIN2 crystal, with properties calculated at the GGA-PBEsol level.

As for the symmetry: No. 123. The calculation puts the uncorrected formation energy at 0.509 eV/atom. The calculation puts the total energy at -29.6 eV per cell. The total magnetic moment comes out at 0.050 μB per formula unit.

a b c (Å): 3.9045 3.9045 5.7016
angles (deg): 90.00 90.00 90.00
With the nearest neighbours (Å) after each atom.
Fractional positions:
I: 0.0000 0.0000 0.5000  4 Zn 2.76, 2 Mo 2.85
Mo: 0.0000 0.0000 0.0000  4 N 1.95
Zn: 0.5000 0.5000 0.5000  4 I 2.76
N: 0.0000 0.5000 0.0000  2 Mo 1.95
N: 0.5000 0.0000 0.0000  2 Mo 1.95

Record 5
Below is a relaxed TlPbSCl2 crystal, with properties calculated at the GGA-PBEsol level.

As for the symmetry: No. 123. The calculation puts the uncorrected formation energy at -0.532 eV/atom. The calculation puts the total energy at -17.7 eV per cell. The total magnetic moment comes out at 0.000 μB per formula unit.

a b c (Å): 5.0915 5.4292 5.4292
angles (deg): 90.00 90.00 90.00
With the nearest neighbours (Å) after each atom.
Fractional positions:
Pb: 0.0000 0.0000 0.0000  2 S 2.55, 4 Cl 2.71
Tl: 0.5000 0.5000 0.5000  8 Cl 3.72, 4 S 3.84
S: 0.5000 0.0000 0.0000  2 Pb 2.55
Cl: 0.0000 0.0000 0.5000  2 Pb 2.71
Cl: 0.0000 0.5000 0.0000  2 Pb 2.71

Record 6
Below is a relaxed GdCu2Te3 crystal, with properties calculated at the GGA-PBEsol level.

As for the symmetry: No. 12. The calculation puts the uncorrected formation energy at -0.567 eV/atom. The calculation puts the total energy at -74.2 eV per cell. The total magnetic moment comes out at 6.883 μB per formula unit.

a b c (Å): 4.0029 7.5657 10.7805
angles (deg): 100.29 100.70 90.00
With the nearest neighbours (Å) after each atom.
Fractional positions:
Gd: 0.3470 0.9726 0.6940  3 Cu 2.97-3.18, 6 Te 2.99-3.15
Gd: 0.6530 0.0274 0.3060  3 Cu 2.97-3.18, 6 Te 2.99-3.15
Te: 0.2528 0.2435 0.5055  3 Cu 2.55-2.63
Te: 0.0676 0.8067 0.1352  2 Cu 2.59-2.60
Te: 0.4122 0.6505 0.8244  3 Cu 2.57-2.60
Te: 0.7472 0.7565 0.4945  3 Cu 2.55-2.63
Te: 0.5878 0.3495 0.1756  3 Cu 2.57-2.60
Te: 0.9324 0.1933 0.8648  2 Cu 2.59-2.60
Cu: 0.2887 0.5840 0.5775  4 Te 2.55-2.63, 2 Cu 2.75
Cu: 0.7113 0.4160 0.4225  4 Te 2.55-2.63, 2 Cu 2.75
Cu: 0.9501 0.8632 0.9003  4 Te 2.59-2.60, 1 Cu 2.68
Cu: 0.0499 0.1368 0.0997  4 Te 2.59-2.60, 1 Cu 2.68

Record 7
Below is a relaxed ZrCdP2 crystal, with properties calculated at the GGA-PBEsol level.

As for the symmetry: No. 123. The energy of formation from the pure elements comes out at -0.550 eV per atom. The calculation puts the total energy at -24.1 eV per cell. The total magnetic moment comes out at 0.000 μB per formula unit.

a b c (Å): 3.4732 3.4732 5.9464
angles (deg): 90.00 90.01 90.00
With the nearest neighbours (Å) after each atom.
Fractional positions:
Cd: 0.5000 0.5000 0.0000  2 Zr 2.97, 8 P 3.03
P: 0.9999 0.0000 0.2994  1 P 2.39
P: 0.0001 0.0000 0.7006  1 P 2.39
Zr: 0.5000 0.5000 0.5000  8 P 2.73, 2 Cd 2.97

Record 8
Below is a relaxed Pt2RhBr crystal, with properties calculated at the GGA-PBEsol level.

As for the symmetry: No. 160. For the energy relative to the lowest polymorph listed for this composition, the calculation gives 0.000 eV per atom. The calculation puts the uncorrected formation energy at 0.413 eV/atom. The calculation puts the total energy at -22.3 eV per cell. The total magnetic moment comes out at 0.005 μB per formula unit.

a b c (Å): 2.9412 2.9412 8.6422
angles (deg): 80.20 80.20 60.00
With the nearest neighbours (Å) after each atom.
Fractional positions:
Rh: 0.5002 0.5002 0.4995  3 Br 2.59, 3 Pt 2.65
Br: 0.2437 0.2437 0.2690  3 Rh 2.59, 3 Pt 2.89
Pt: 0.0025 0.0025 0.9924  9 Pt 2.74-2.94, 3 Br 2.89
Pt: 0.7536 0.7536 0.7392  3 Rh 2.65, 9 Pt 2.74-2.94